The following is a DFT calculation (PBE-GGA) of a geometry-optimized LuGeH structure.

Output
Raw total energy (eV/atom): -4.685
Space group: P-6m2, No. 187
Magnetization (μB per cell): 0.00

a = 3.469 Å, b = 3.469 Å, c = 4.625 Å
α = 90.00°, β = 90.00°, γ = 120.00°
Element x y z (fractional)
Lu1 0.000 0.000 0.000
Ge1 0.667 0.333 0.500
H1 0.333 0.667 0.000